# 1
Tl15As, optimized geometry, DFT PBE; symmetry = P-6m2; energy of formation from the pure elements = 2.8 kJ per mole of atoms
1.0
-2.694 -4.572 -4.806
2.593 -2.449 6.208
-9.967 1.057 4.580
Tl As
15 1
Direct
0.000 0.000 0.500
0.011 0.506 0.000
0.994 0.497 0.500
0.494 0.989 0.000
0.503 0.006 0.500
0.494 0.506 0.000
0.503 0.497 0.500
0.837 0.163 0.237
0.837 0.163 0.763
0.837 0.673 0.237
0.837 0.673 0.763
0.327 0.163 0.237
0.327 0.163 0.763
0.333 0.667 0.262
0.333 0.667 0.738
0.000 0.000 0.000



# 2
Na2GeS4, optimized geometry, DFT PBE; formation energy from raw total energies = -233 meV per atom; symmetry = I4/mmm
1.0
-0.258 3.226 3.697
0.689 -3.641 3.225
7.069 0.763 3.092
Na Ge S
2 1 4
Direct
0.371 0.371 0.257
0.629 0.629 0.743
0.000 0.000 0.000
0.160 0.160 0.679
0.840 0.840 0.321
0.000 0.500 0.000
0.500 0.000 0.000



# 3
KErAg2F8, optimized geometry, DFT PBE; formation energy from raw total energies = -2322 meV per atom; symmetry = I-4m2
1.0
5.544 0.000 0.000
0.000 5.544 0.000
-2.772 -2.772 5.681
K Er Ag F
1 1 2 8
Direct
0.750 0.250 0.500
0.000 0.000 0.000
0.500 0.500 0.000
0.250 0.750 0.500
0.885 0.858 0.226
0.341 0.368 0.226
0.632 0.659 0.774
0.142 0.115 0.774
0.885 0.368 0.226
0.341 0.858 0.226
0.142 0.659 0.774
0.632 0.115 0.774



# 4
Ag2Bi2Sb, optimized geometry, DFT PBE; formation energy from raw total energies = 175 meV per atom; symmetry = I4/mmm
1.0
3.962 0.000 0.000
0.000 3.962 0.000
1.981 1.981 8.492
Sb Bi Ag
1 2 2
Direct
0.000 0.000 0.000
0.392 0.392 0.215
0.608 0.608 0.785
0.750 0.250 0.500
0.250 0.750 0.500



# 5
SrTiTe2, optimized geometry, DFT PBE; formation energy from raw total energies = -744 meV per atom; symmetry = Fm-3m
1.0
0.000 3.803 3.803
3.803 0.000 3.803
3.803 3.803 0.000
Sr Te Ti
1 2 1
Direct
0.500 0.500 0.500
0.250 0.250 0.250
0.750 0.750 0.750
0.000 0.000 0.000



# 6
P3SeBr, optimized geometry, DFT PBE; formation energy from raw total energies = 1225 meV per atom; symmetry = Pm-3m
1.0
4.873 0.000 0.000
0.000 4.873 0.000
0.000 0.000 4.873
P Se Br
3 1 1
Direct
0.000 0.500 0.000
0.000 0.000 0.500
0.500 0.000 0.000
0.000 0.000 0.000
0.500 0.500 0.500



# 7
CaMgGa2Pt2, optimized geometry, DFT PBE; symmetry = P-3m1; energy of formation from the pure elements = -80.3 kJ per mole of atoms
1.0
-2.776 2.900 1.777
-0.380 -1.092 -4.235
-4.295 -5.162 1.716
Ca Mg Ga Pt
1 1 2 2
Direct
0.000 0.000 0.000
0.000 0.000 0.500
0.667 0.333 0.704
0.333 0.667 0.296
0.667 0.333 0.301
0.333 0.667 0.699



# 8
Al2SiTe, optimized geometry, DFT PBE; formation energy from raw total energies = 327 meV per atom; symmetry = Immm
1.0
5.478 -0.020 -0.002
2.094 5.062 0.002
-3.230 -3.356 2.883
Si Te Al
1 1 2
Direct
0.250 0.750 0.500
0.750 0.250 0.500
0.026 0.026 0.000
0.474 0.474 0.000



Summary of Fermi-level density of states in states/eV/f.u.
8.6 3.6 8.7 2.5 0.1 3.3 2.6 1.9
(order as listed above)